*P*
Here is a relaxed MnP2Os crystal from Alexandria via LeMat-Bulk. Energies are from GGA-PBEsol.

```
4
Lattice="-0.193 1.216 -2.495 -2.850 -1.913 -0.712 -2.863 3.541 1.947" Properties=species:S:1:pos:R:3 pbc="T T T"
Mn -1.231 1.522 0.837
Os -3.810 2.482 -0.047
P -2.781 3.439 1.891
P -2.380 0.713 -1.020
```

Output
Mass density ... 10.56 Mg/m³

***

*Q*
Here is a relaxed MnP2Os crystal from Alexandria via LeMat-Bulk. Energies are from GGA-PBEsol.

```
4
Lattice="-1.701 -0.309 -2.463 -3.069 -0.366 2.165 -0.668 4.780 -0.138" Properties=species:S:1:pos:R:3 pbc="T T T"
Mn -2.385 -0.338 -0.149
Os -1.869 2.207 1.014
P -0.520 3.718 -0.108
P -1.849 0.753 -2.493
```

Output
Mass density ... 9.30 Mg/m³

***

Energy relative to the most stable one, in eV/atom: *P* 0.000; *Q* 0.308